(1)
PBE In2Pd3Au4, relaxed; SG = C2/c, No. 15; N(E_F) = 5.487 states/eV/cell; energy of formation = -166.2 meV/atom; E_tot = -3.96 eV/atom
1.0
-4.0089 1.0536 3.3886
-3.2779 -7.1056 -1.0167
3.9131 -2.9326 6.1932
In Pd Au
4 6 8
direct
0.5380 0.2165 0.3794
0.9620 0.6206 0.7835
0.4620 0.7835 0.6206
0.0380 0.3794 0.2165
0.8915 0.0535 0.1676
0.6085 0.8324 0.9465
0.1085 0.9465 0.8324
0.3915 0.1676 0.0535
0.2500 0.5069 0.4931
0.7500 0.4931 0.5069
0.4359 0.8893 0.2815
0.0641 0.7185 0.1107
0.5641 0.1107 0.7185
0.9359 0.2815 0.8893
0.0457 0.1715 0.5437
0.4543 0.4563 0.8285
0.9543 0.8285 0.4563
0.5457 0.5437 0.1715



(2)
PBE Tb16Pr6Sm7, relaxed; SG = Fm-3m, No. 225; N(E_F) = 50.098 states/eV/cell; energy of formation = 227.4 meV/atom; E_tot = -4.46 eV/atom
1.0
9.7799 0.0000 5.6465
3.2600 9.2206 5.6465
0.0000 0.0000 11.2929
Tb Pr Sm
16 6 7
direct
0.8717 0.8717 0.3850
0.8717 0.8717 0.8717
0.8717 0.3850 0.8717
0.3850 0.8717 0.8717
0.1283 0.1283 0.1283
0.1283 0.1283 0.6150
0.1283 0.6150 0.1283
0.6150 0.1283 0.1283
0.6511 0.6511 0.0467
0.6511 0.6511 0.6511
0.6511 0.0467 0.6511
0.0467 0.6511 0.6511
0.3489 0.3489 0.3489
0.3489 0.3489 0.9533
0.3489 0.9533 0.3489
0.9533 0.3489 0.3489
0.2683 0.7317 0.2683
0.7317 0.2683 0.7317
0.7317 0.2683 0.2683
0.2683 0.7317 0.7317
0.7317 0.7317 0.2683
0.2683 0.2683 0.7317
0.0000 0.0000 0.0000
0.5000 0.0000 0.5000
0.0000 0.5000 0.0000
0.0000 0.5000 0.5000
0.5000 0.0000 0.0000
0.0000 0.0000 0.5000
0.5000 0.5000 0.0000



(3)
PBE RbWSCl2, relaxed; SG = P4/mmm, No. 123; E_form (uncorrected) = 1383 meV/atom; N(E_F) = 10.964 states/eV/cell; E_tot = -2.97 eV/atom
1.0
5.7882 0.0000 0.0000
0.0000 5.7882 0.0000
0.0000 0.0000 5.8756
S Rb W Cl
1 1 1 2
direct
0.0000 0.0000 0.5000
0.0000 0.0000 0.0000
0.5000 0.5000 0.5000
0.0000 0.5000 0.0000
0.5000 0.0000 0.0000